Computed, not measured: an optimized crystal structure of Zr4CO at the GGA-PBE level of DFT.

Computed properties:
calculated density = 6.53 g/cm3
energy relative to the elements, uncorrected = -7.0 eV/f.u.
calculated volume = 199.8 Å³/cell
space group = Pnc2, No. 30
N(E_F) = 4.3 states/eV/f.u.
spin magnetization = 0.00 μB per cell
energy relative to the lowest polymorph listed for this composition = 0.0 kJ/mol of formula units

Cell lengths 5.3081, 5.7629, 6.5330 Å; angles 90.00, 90.00, 90.00 degrees
Last column: nearest neighbours and their distance in Å.
Fractional positions:
C 0.0000 0.0000 0.8763  6 Zr 2.29-2.33
Zr 0.2607 0.3316 0.3729  1 C 2.29, 2 O 2.30-2.34
Zr 0.7548 0.1683 0.1260  2 C 2.30-2.33, 1 O 2.31
O 0.5000 0.5000 0.6259  6 Zr 2.30-2.34
Zr 0.2548 0.8317 0.6260  2 C 2.30-2.33, 1 O 2.31
Zr 0.2393 0.3316 0.8729  1 C 2.29, 2 O 2.30-2.34
C 0.5000 0.0000 0.3763  6 Zr 2.29-2.33
Zr 0.7393 0.6684 0.3729  1 C 2.29, 2 O 2.30-2.34
Zr 0.7607 0.6684 0.8729  1 C 2.29, 2 O 2.30-2.34
Zr 0.2452 0.8317 0.1260  2 C 2.30-2.33, 1 O 2.31
O 0.0000 0.5000 0.1259  6 Zr 2.30-2.34
Zr 0.7452 0.1683 0.6260  2 C 2.30-2.33, 1 O 2.31



Computed, not measured: an optimized crystal structure of Ho3CuRu at the GGA-PBE level of DFT.

Computed properties:
calculated density = 9.54 g/cm3
calculated volume = 229.6 Å³/cell
space group = P-1, No. 2
N(E_F) = 3.7 states/eV/f.u.
E_form = -0.2975 eV per atom
spin magnetization = 0.00 μB per cell
energy relative to the lowest polymorph listed for this composition = 0.0 kJ/mol of formula units

Cell lengths 5.6548, 6.2614, 8.1876 Å; angles 112.28, 78.99, 121.13 degrees
Last column: nearest neighbours and their distance in Å.
Fractional positions:
Cu 0.5306 0.2085 0.5006  1 Cu 2.45
Ho 0.4990 0.1873 0.8751  4 Ru 2.98-3.09, 2 Cu 3.09-3.10
Ho 0.8600 0.5765 0.2882  2 Ru 2.77-2.78, 2 Cu 3.03-3.09
Ho 0.1400 0.4235 0.7118  2 Ru 2.77-2.78, 2 Cu 3.03-3.09
Ho 0.8548 0.7885 0.7123  2 Ru 2.77, 2 Cu 3.02-3.05
Ho 0.1452 0.2115 0.2877  2 Ru 2.77, 2 Cu 3.02-3.05
Ru 0.0001 0.7499 0.0001  8 Ho 2.77-3.09
Cu 0.4694 0.7915 0.4994  1 Cu 2.45
Ho 0.5010 0.8127 0.1249  4 Ru 2.98-3.09, 2 Cu 3.09-3.10
Ru 0.9999 0.2501 0.9999  8 Ho 2.77-3.09



Computed, not measured: an optimized crystal structure of TmSc4 at the GGA-PBE level of DFT.

Computed properties:
calculated density = 4.54 g/cm3
calculated volume = 127.6 Å³/cell
space group = I4/mmm, No. 139
N(E_F) = 8.7 states/eV/f.u.
E_form = 0.0519 eV per atom
spin magnetization = 0.00 μB per cell
energy relative to the lowest polymorph listed for this composition = 0.0 kJ/mol of formula units

Cell lengths 3.3095, 3.3095, 11.8875 Å; angles 98.02, 98.02, 89.98 degrees
Last column: nearest neighbours and their distance in Å.
Fractional positions:
Tm 0.0000 0.0000 0.0000  4 Tm 3.31, 8 Sc 3.37
Sc 0.6034 0.6034 0.2078  8 Sc 3.26-3.31, 4 Tm 3.37
Sc 0.7993 0.7993 0.5979  12 Sc 3.26-3.31
Sc 0.2007 0.2007 0.4021  12 Sc 3.26-3.31
Sc 0.3966 0.3966 0.7922  8 Sc 3.26-3.31, 4 Tm 3.37



Computed, not measured: an optimized crystal structure of LiRh2 at the GGA-PBE level of DFT.

Computed properties:
calculated density = 8.38 g/cm3
calculated volume = 42.1 Å³/cell
space group = P4/mmm, No. 123
N(E_F) = 4.2 states/eV/f.u.
E_form = 0.5155 eV per atom
spin magnetization = 0.00 μB per cell

Cell lengths 3.8543, 3.8543, 2.8365 Å; angles 90.00, 90.00, 90.00 degrees
Last column: nearest neighbours and their distance in Å.
Fractional positions:
Rh 0.5000 0.0000 0.5000  4 Li 2.39
Li 0.0000 0.0000 0.0000  8 Rh 2.39
Rh 0.0000 0.5000 0.5000  4 Li 2.39



Computed, not measured: an optimized crystal structure of AlAs2SeF at the GGA-PBE level of DFT.

Computed properties:
calculated density = 4.61 g/cm3
energy relative to the elements, uncorrected = 1.3 eV/f.u.
calculated volume = 99.1 Å³/cell
space group = P4/mmm, No. 123
N(E_F) = 2.6 states/eV/f.u.
spin magnetization = 0.00 μB per cell
energy relative to the lowest polymorph listed for this composition = 27.9 kJ/mol of formula units

Cell lengths 4.3594, 5.2132, 4.3594 Å; angles 90.00, 90.00, 90.00 degrees
Last column: nearest neighbours and their distance in Å.
Fractional positions:
Se 0.0000 0.5000 0.0000  2 F 2.61
As 0.5000 0.0000 0.0000  2 F 2.18
F 0.0000 0.0000 0.0000  4 As 2.18
As 0.0000 0.0000 0.5000  2 F 2.18
Al 0.5000 0.5000 0.5000  4 Se 3.08, 8 As 3.40



Computed, not measured: an optimized crystal structure of Ba2Cd4InGe3 at the GGA-PBE level of DFT.

Computed properties:
calculated density = 6.55 g/cm3
calculated volume = 267.8 Å³/cell
space group = P-4m2, No. 115
N(E_F) = 2.7 states/eV/f.u.
E_form = -0.3368 eV per atom
spin magnetization = 0.00 μB per cell

Cell lengths 4.7546, 4.7546, 11.8459 Å; angles 90.00, 90.00, 90.00 degrees
Last column: nearest neighbours and their distance in Å.
Fractional positions:
Cd 0.5000 0.5000 0.0000  4 Ge 2.85
Ge 0.0000 0.0000 0.5000  4 Cd 2.89
Cd 0.0000 0.5000 0.3617  3 Ge 2.72-2.89, 2 In 2.89
Ba 0.0000 0.5000 0.7574  6 Ge 3.61-3.87, 8 Cd 3.65-3.73, 2 In 3.87
Ba 0.5000 0.0000 0.2426  6 Ge 3.61-3.87, 8 Cd 3.65-3.73, 2 In 3.87
Cd 0.0000 0.0000 0.0000  4 Ge 2.85
In 0.5000 0.5000 0.5000  4 Cd 2.89
Ge 0.5000 0.0000 0.8677  5 Cd 2.72-2.85
Cd 0.5000 0.0000 0.6383  3 Ge 2.72-2.89, 2 In 2.89
Ge 0.0000 0.5000 0.1323  5 Cd 2.72-2.85



Computed, not measured: an optimized crystal structure of PrSmBeGa at the GGA-PBE level of DFT.

Computed properties:
calculated density = 6.49 g/cm3
calculated volume = 94.6 Å³/cell
space group = F-43m, No. 216
N(E_F) = 4.5 states/eV/f.u.
E_form = -0.1600 eV per atom
spin magnetization = 0.00 μB per cell

Cell lengths 5.1149, 5.1149, 5.1149 Å; angles 60.00, 60.00, 60.00 degrees
Last column: nearest neighbours and their distance in Å.
Fractional positions:
Sm 0.5000 0.5000 0.5000  4 Be 3.13, 4 Ga 3.13
Pr 0.0000 0.0000 0.0000  4 Ga 3.13, 4 Be 3.13
Ga 0.2500 0.2500 0.2500  4 Sm 3.13, 4 Pr 3.13
Be 0.7500 0.7500 0.7500  4 Sm 3.13, 4 Pr 3.13



Computed, not measured: an optimized crystal structure of Sr2MgPb8 at the GGA-PBE level of DFT.

Computed properties:
calculated density = 8.86 g/cm3
calculated volume = 347.9 Å³/cell
space group = P4/mmm, No. 123
N(E_F) = 3.1 states/eV/f.u.
E_form = -0.2503 eV per atom
spin magnetization = 0.00 μB per cell

Cell lengths 5.1334, 5.1334, 13.2010 Å; angles 90.00, 90.00, 90.00 degrees
Last column: nearest neighbours and their distance in Å.
Fractional positions:
Sr 0.0000 0.0000 0.6861  12 Pb 3.54-3.63
Pb 0.0000 0.5000 0.5000  4 Sr 3.55, 8 Pb 3.58-3.63
Pb 0.5000 0.0000 0.8705  2 Mg 3.08, 1 Pb 3.42
Mg 0.0000 0.0000 0.0000  8 Pb 3.08
Pb 0.0000 0.5000 0.1295  2 Mg 3.08, 1 Pb 3.42
Pb 0.5000 0.5000 0.6893  8 Pb 3.51-3.58, 4 Sr 3.63
Pb 0.5000 0.0000 0.5000  4 Sr 3.55, 8 Pb 3.58-3.63
Sr 0.0000 0.0000 0.3139  12 Pb 3.54-3.63
Pb 0.0000 0.5000 0.8705  2 Mg 3.08, 1 Pb 3.42
Pb 0.5000 0.5000 0.3107  8 Pb 3.51-3.58, 4 Sr 3.63
Pb 0.5000 0.0000 0.1295  2 Mg 3.08, 1 Pb 3.42



Computed, not measured: an optimized crystal structure of PmNd2YEr5 at the GGA-PBE level of DFT.

Computed properties:
calculated density = 7.71 g/cm3
calculated volume = 585.1 Å³/cell
space group = I4/mcm, No. 140
N(E_F) = 10.4 states/eV/f.u.
E_form = 0.2632 eV per atom
spin magnetization = 0.00 μB per cell

Cell lengths 8.6975, 8.6975, 9.8819 Å; angles 116.11, 116.11, 90.00 degrees
Last column: nearest neighbours and their distance in Å.
Fractional positions:
Er 0.8496 0.9268 0.2765  1 Nd 3.01, 1 Y 3.12
Er 0.0732 0.5732 0.7235  1 Nd 3.01, 1 Y 3.12
Nd 0.1168 0.3832 0.0000  1 Nd 2.87, 2 Er 3.01
Pm 0.7500 0.7500 0.5000  10 Er 3.56-3.87
Er 0.4268 0.3496 0.2765  1 Nd 3.01, 1 Y 3.12
Pm 0.2500 0.2500 0.5000  10 Er 3.56-3.87
Nd 0.3832 0.8832 0.0000  1 Nd 2.87, 2 Er 3.01
Er 0.3496 0.8496 0.2765  1 Nd 3.01, 1 Y 3.12
Nd 0.6168 0.1168 0.0000  1 Nd 2.87, 2 Er 3.01
Er 0.1504 0.0732 0.7235  1 Nd 3.01, 1 Y 3.12
Er 0.0000 0.0000 0.0000  4 Nd 3.48, 8 Er 3.78, 2 Pm 3.87
Y 0.2500 0.7500 0.5000  4 Er 3.12
Nd 0.8832 0.6168 0.0000  1 Nd 2.87, 2 Er 3.01
Er 0.6504 0.1504 0.7235  1 Nd 3.01, 1 Y 3.12
Y 0.7500 0.2500 0.5000  4 Er 3.12
Er 0.9268 0.4268 0.2765  1 Nd 3.01, 1 Y 3.12
Er 0.5000 0.5000 0.0000  4 Nd 3.48, 8 Er 3.78, 2 Pm 3.87
Er 0.5732 0.6504 0.7235  1 Nd 3.01, 1 Y 3.12